Below is an optimized crystal structure of CsTcMo2Ru, with properties calculated at the PBE level.

Lattice parameters (Å, degrees): 4.9066 4.9066 4.9025 90.00 90.00 90.00
With the nearest neighbours (Å) after each atom.
Positions (direct):
Cs (0.0000, 0.0000, 0.0000)  8 Mo 3.47, 4 Tc 3.47
Tc (0.5000, 0.5000, 0.0000)  2 Ru 2.45
Mo (0.0000, 0.5000, 0.5000)  2 Ru 2.45
Mo (0.5000, 0.0000, 0.5000)  2 Ru 2.45
Ru (0.5000, 0.5000, 0.5000)  2 Tc 2.45, 4 Mo 2.45

Space group ... P4/mmm, No. 123

=====

Below is an optimized crystal structure of La2TiPd, with properties calculated at the PBE level.

Lattice parameters (Å, degrees): 7.4532 7.4532 7.4532 90.00 90.00 90.00
With the nearest neighbours (Å) after each atom.
Positions (direct):
La (0.2500, 0.2500, 0.2500)  4 Pd 3.23, 4 Ti 3.23
La (0.2500, 0.2500, 0.7500)  4 Pd 3.23, 4 Ti 3.23
La (0.2500, 0.7500, 0.2500)  4 Pd 3.23, 4 Ti 3.23
La (0.2500, 0.7500, 0.7500)  4 Pd 3.23, 4 Ti 3.23
La (0.7500, 0.2500, 0.2500)  4 Pd 3.23, 4 Ti 3.23
La (0.7500, 0.2500, 0.7500)  4 Pd 3.23, 4 Ti 3.23
La (0.7500, 0.7500, 0.2500)  4 Pd 3.23, 4 Ti 3.23
La (0.7500, 0.7500, 0.7500)  4 Ti 3.23, 4 Pd 3.23
Ti (0.0000, 0.0000, 0.0000)  8 La 3.23
Ti (0.0000, 0.5000, 0.5000)  8 La 3.23
Ti (0.5000, 0.0000, 0.5000)  8 La 3.23
Ti (0.5000, 0.5000, 0.0000)  8 La 3.23
Pd (0.0000, 0.0000, 0.5000)  8 La 3.23
Pd (0.0000, 0.5000, 0.0000)  8 La 3.23
Pd (0.5000, 0.0000, 0.0000)  8 La 3.23
Pd (0.5000, 0.5000, 0.5000)  8 La 3.23

Space group ... Fm-3m, No. 225
Polymorph energy (0 for the lowest one) ... 0.00 eV/f.u.

=====

| no. | DFT formation energy (eV/atom) |
| --- | --- |
| 1 | 1.863 |
| 2 | -0.040 |